[1]
A plane-wave DFT calculation with PBE was carried out for crystalline Li2Mg5Hg12 at its relaxed geometry.

Results
N(E_F) ... 5.81 states/eV/cell
ΔH_f (0 K) ... -0.151 eV/atom
Volume ... 22.6 Å³/atom
Electronic total energy ... -0.071 Ry/atom

Geometry as CIF:
```
data_Li2Mg5Hg12
_symmetry_space_group_name_H-M 'P 1'
_symmetry_Int_Tables_number 1
_symmetry_space_group_name_Hall 'P 1'
_cell_length_a 9.109
_cell_length_b 8.515
_cell_length_c 6.558
_cell_angle_alpha 93.79
_cell_angle_beta 90.00
_cell_angle_gamma 122.34
loop_
_atom_site_label
_atom_site_type_symbol
_atom_site_fract_x
_atom_site_fract_y
_atom_site_fract_z
_atom_site_occupancy
Li1 Li 0.754 0.000 0.000 1
Li2 Li 0.246 0.000 0.000 1
Mg1 Mg 0.247 0.494 0.548 1
Mg2 Mg 0.324 0.648 0.071 1
Mg3 Mg 0.000 0.000 0.500 1
Mg4 Mg 0.676 0.352 0.929 1
Mg5 Mg 0.753 0.506 0.452 1
Hg1 Hg 0.891 0.782 0.097 1
Hg2 Hg 0.036 0.623 0.792 1
Hg3 Hg 0.587 0.623 0.792 1
Hg4 Hg 0.172 0.793 0.381 1
Hg5 Hg 0.621 0.793 0.381 1
Hg6 Hg 0.457 0.914 0.755 1
Hg7 Hg 0.543 0.086 0.245 1
Hg8 Hg 0.828 0.207 0.619 1
Hg9 Hg 0.379 0.207 0.619 1
Hg10 Hg 0.964 0.377 0.208 1
Hg11 Hg 0.413 0.377 0.208 1
Hg12 Hg 0.109 0.218 0.903 1
```

[2]
A plane-wave DFT calculation with PBE was carried out for crystalline Li6MgHg at its relaxed geometry.

Results
N(E_F) ... 3.67 states/eV/cell
ΔH_f (0 K) ... -0.013 eV/atom
Volume ... 21.9 Å³/atom
Electronic total energy ... -0.124 Ry/atom
E above lowest polymorph ... 131 meV/atom

Geometry as CIF:
```
data_Li6MgHg
_symmetry_space_group_name_H-M 'P 1'
_symmetry_Int_Tables_number 1
_symmetry_space_group_name_Hall 'P 1'
_cell_length_a 4.945
_cell_length_b 4.945
_cell_length_c 8.009
_cell_angle_alpha 75.76
_cell_angle_beta 75.76
_cell_angle_gamma 69.58
loop_
_atom_site_label
_atom_site_type_symbol
_atom_site_fract_x
_atom_site_fract_y
_atom_site_fract_z
_atom_site_occupancy
Li1 Li 0.061 0.558 0.295 1
Li2 Li 0.558 0.061 0.295 1
Li3 Li 0.442 0.939 0.705 1
Li4 Li 0.939 0.442 0.705 1
Li5 Li 0.358 0.358 0.936 1
Li6 Li 0.642 0.642 0.064 1
Mg1 Mg 0.500 0.500 0.500 1
Hg1 Hg 0.000 0.000 0.000 1
```

[3]
A plane-wave DFT calculation with PBE was carried out for crystalline LiMgHg2 at its relaxed geometry.

Results
N(E_F) ... 1.83 states/eV/cell
ΔH_f (0 K) ... -0.216 eV/atom
Volume ... 20.1 Å³/atom
Electronic total energy ... -0.091 Ry/atom

Geometry as CIF:
```
data_LiMgHg2
_symmetry_space_group_name_H-M 'P 1'
_symmetry_Int_Tables_number 1
_symmetry_space_group_name_Hall 'P 1'
_cell_length_a 4.846
_cell_length_b 4.846
_cell_length_c 4.846
_cell_angle_alpha 60.00
_cell_angle_beta 60.00
_cell_angle_gamma 60.00
loop_
_atom_site_label
_atom_site_type_symbol
_atom_site_fract_x
_atom_site_fract_y
_atom_site_fract_z
_atom_site_occupancy
Mg1 Mg 0.750 0.750 0.750 1
Hg1 Hg 0.000 0.000 0.000 1
Hg2 Hg 0.250 0.250 0.250 1
Li1 Li 0.500 0.500 0.500 1
```